Na2Zr2ScS6 (PBE-GGA, optimized geometry); formation energy (no corrections) = -1.607 eV/atom
1.0
-2.7046 -0.9760 -5.7171
-2.6515 -2.4899 5.2652
-1.9656 6.8402 0.9524
Na Zr Sc S
2 2 1 6
Direct
0.8333 0.1667 0.0000
0.1667 0.8333 0.0000
0.3336 0.6664 0.5000
0.6664 0.3336 0.5000
0.0000 0.0000 0.5000
0.0724 0.4061 0.7174
0.5939 0.9276 0.2826
0.4061 0.0724 0.7174
0.9276 0.5939 0.2826
0.2609 0.2609 0.2830
0.7391 0.7391 0.7170

Cr2CuSi (PBE-GGA, optimized geometry); formation energy (no corrections) = 0.200 eV/atom
1.0
-6.5632 3.4632 -4.0762
-7.5479 3.4481 -1.6806
-6.0375 5.4075 -2.4478
Cr Si Cu
2 1 1
Direct
0.0018 0.0018 0.0018
0.2518 0.2518 0.2518
0.7486 0.7486 0.7486
0.4978 0.4978 0.4978

KReSeBr2 (PBE-GGA, optimized geometry); formation energy (no corrections) = 1.235 eV/atom; energy relative to the lowest polymorph listed for this composition = 1.522 eV/atom
1.0
5.9169 0.0000 0.0000
0.0000 5.9169 0.0000
0.0000 0.0000 5.9150
Br Re K Se
2 1 1 1
Direct
0.5000 0.0000 0.0000
0.0000 0.5000 0.0000
0.5000 0.5000 0.5000
0.0000 0.0000 0.0000
0.0000 0.0000 0.5000

LaPm2C2N6 (PBE-GGA, optimized geometry); formation energy (no corrections) = -0.738 eV/atom
1.0
6.5366 0.8514 -0.1638
3.9021 5.5166 0.2950
-0.6616 -2.3274 4.6063
Pm N La C
2 6 1 2
Direct
0.2349 0.6001 0.2299
0.7651 0.3999 0.7701
0.8695 0.7199 0.8714
0.0940 0.0610 0.3490
0.3159 0.5137 0.7209
0.6841 0.4863 0.2791
0.9060 0.9390 0.6510
0.1305 0.2801 0.1286
0.5000 0.0000 0.5000
0.0300 0.7258 0.7516
0.9700 0.2742 0.2484

LiThTlHg (PBE-GGA, optimized geometry); electronic total energy = -3.214 eV per atom
1.0
5.2429 0.0000 0.0000
2.6214 4.5404 0.0000
2.6214 1.5135 4.2808
Th Hg Tl Li
1 1 1 1
Direct
0.5000 0.5000 0.5000
0.7500 0.7500 0.7500
0.2500 0.2500 0.2500
0.0000 0.0000 0.0000

Dy3Th3Sc (PBE-GGA, optimized geometry); energy relative to the lowest polymorph listed for this composition = 0.000 eV/atom
1.0
5.7927 0.0000 0.0000
0.0000 9.3308 0.0000
0.0000 -4.6654 8.0807
Dy Th Sc
6 6 2
Direct
0.7500 0.4734 0.0930
0.7500 0.6195 0.5266
0.7500 0.9070 0.3805
0.2500 0.0930 0.6195
0.2500 0.5266 0.9070
0.2500 0.3805 0.4734
0.2500 0.2378 0.0520
0.2500 0.8142 0.7622
0.7500 0.0520 0.8142
0.7500 0.1858 0.2378
0.2500 0.9480 0.1858
0.7500 0.7622 0.9480
0.7500 0.3333 0.6667
0.2500 0.6667 0.3333

TmMgMn (PBE-GGA, optimized geometry); electronic total energy = -4.955 eV per atom
1.0
-0.0738 0.1070 3.3219
-2.2167 -2.4773 0.0305
5.5305 -2.7359 -1.4525
Tm Mg Mn
1 1 1
Direct
0.3142 0.3142 0.6284
0.0232 0.0232 0.0464
0.6626 0.6626 0.3252

LiCa2AlS4 (PBE-GGA, optimized geometry); formation energy (no corrections) = -1.558 eV/atom
1.0
7.5696 0.1045 -0.0911
0.0992 7.5697 -0.0911
-3.8502 -3.8529 5.5169
Ca S Li Al
4 8 2 2
Direct
0.5000 0.5000 0.0000
0.5000 0.0000 0.0000
0.5000 0.0000 0.5000
0.0000 0.0000 0.5000
0.2415 0.2584 0.0251
0.2202 0.7622 0.9912
0.2622 0.7201 0.4912
0.2416 0.2585 0.4749
0.7799 0.2378 0.0088
0.7584 0.7415 0.5251
0.7378 0.2798 0.5088
0.7585 0.7416 0.9749
0.0000 0.5000 0.0000
0.0000 0.5000 0.5000
0.5000 0.5000 0.5000
0.0000 0.0000 0.0000

Sr2Zn2Au (PBE-GGA, optimized geometry); energy relative to the lowest polymorph listed for this composition = 0.000 eV/atom
1.0
4.5669 0.0000 0.0000
2.2835 5.8143 -0.1680
2.2835 0.6173 10.5840
Zn Sr Au
4 4 2
Direct
0.3871 0.1145 0.1114
0.0453 0.3285 0.5809
0.9547 0.6715 0.4191
0.6129 0.8855 0.8886
0.0931 0.7028 0.1110
0.6992 0.2469 0.3547
0.3008 0.7531 0.6453
0.9069 0.2972 0.8890
0.4210 0.8364 0.3215
0.5790 0.1636 0.6785

Nd5SnAu2 (PBE-GGA, optimized geometry); electronic total energy = -4.918 eV per atom
1.0
-7.2487 -3.5044 2.1757
-2.4017 0.0093 -7.9868
7.5487 -4.3988 2.0794
Nd Au Sn
10 4 2
Direct
0.0000 0.0000 0.0000
0.9872 0.4872 0.2892
0.0128 0.5128 0.7108
0.6980 0.1980 0.7108
0.8020 0.9872 0.2892
0.5000 0.5000 0.0000
0.3020 0.8020 0.2892
0.1980 0.0128 0.7108
0.5128 0.6980 0.7108
0.4872 0.3020 0.2892
0.8662 0.6338 0.0000
0.3662 0.8662 0.0000
0.6338 0.1338 0.0000
0.1338 0.3662 0.0000
0.7500 0.7500 0.5000
0.2500 0.2500 0.5000

SbI2Br2 (PBE-GGA, optimized geometry); formation energy (no corrections) = 0.258 eV/atom; energy relative to the lowest polymorph listed for this composition = 0.309 eV/atom
1.0
-0.5754 -4.2281 -0.1139
3.6377 -0.5533 2.1637
-4.2700 -1.8677 10.9118
Br Sb I
2 1 2
Direct
0.4295 0.4295 0.1411
0.5705 0.5705 0.8589
0.0000 0.0000 0.0000
0.2500 0.7500 0.5000
0.7500 0.2500 0.5000

CuPbCl2 (PBE-GGA, optimized geometry); formation energy (no corrections) = -0.146 eV/atom; energy relative to the lowest polymorph listed for this composition = 0.356 eV/atom
1.0
3.6175 0.0000 0.0000
0.0000 5.9142 0.0000
0.0000 0.0000 4.4227
Cl Pb Cu
2 1 1
Direct
0.5000 0.5000 0.0000
0.0000 0.0000 0.0000
0.0000 0.5000 0.5000
0.5000 0.0000 0.5000

no.,N(E_F) (states/eV per cell)
1,3.3
2,4.6
3,5.0
4,4.4
5,2.8
6,18.8
7,2.6
8,0.0
9,6.5
10,19.0
11,4.0
12,2.1